No. 1
Compound: CsDySnO3
Source: the Alexandria database
Functional: GGA-PBE
Structure: optimized geometry

Properties
SG: P2_1/m
ΔE_f (raw) (meV per atom): -2245

Cell lengths 3.544, 7.849, 9.417 Å; angles 82.62, 90.00, 90.00 degrees
Atoms (fractional coordinates):
1 O 0.250 0.608 0.896
2 O 0.250 0.253 0.812
3 Dy 0.750 0.426 0.865
4 Dy 0.250 0.574 0.135
5 Cs 0.250 0.084 0.209
6 O 0.750 0.461 0.611
7 Sn 0.750 0.691 0.425
8 Sn 0.250 0.309 0.575
9 O 0.750 0.747 0.188
10 O 0.250 0.539 0.389
11 Cs 0.750 0.916 0.791
12 O 0.750 0.392 0.104

***

No. 2
Compound: Cs3DyTe2O9
Source: the Alexandria database
Functional: GGA-PBE
Structure: optimized geometry

Properties
SG: P-3m1
ΔE_f (raw) (meV per atom): -1504

Cell lengths 6.061, 6.061, 7.421 Å; angles 90.00, 90.00, 120.00 degrees
Atoms (fractional coordinates):
1 Te 0.333 0.667 0.172
2 O 0.500 0.500 0.000
3 O 0.820 0.640 0.684
4 Cs 0.000 0.000 0.000
5 O 0.640 0.820 0.316
6 Dy 0.000 0.000 0.500
7 O 0.820 0.180 0.684
8 O 0.000 0.500 0.000
9 O 0.360 0.180 0.684
10 Cs 0.667 0.333 0.332
11 Cs 0.333 0.667 0.668
12 O 0.500 0.000 0.000
13 O 0.180 0.820 0.316
14 Te 0.667 0.333 0.828
15 O 0.180 0.360 0.316

***

No. 3
Compound: Cs2Dy2TeO6
Source: the Alexandria database
Functional: GGA-PBE
Structure: optimized geometry

Properties
SG: C2/m
ΔE_f (raw) (meV per atom): -2231

Cell lengths 6.022, 6.022, 7.296 Å; angles 97.68, 97.68, 119.85 degrees
Atoms (fractional coordinates):
1 Cs 0.834 0.166 0.000
2 Cs 0.166 0.834 0.000
3 O 0.377 0.047 0.657
4 Te 0.000 0.000 0.500
5 Dy 0.666 0.334 0.500
6 O 0.270 0.270 0.343
7 Dy 0.334 0.666 0.500
8 O 0.047 0.377 0.657
9 O 0.730 0.730 0.657
10 O 0.953 0.623 0.343
11 O 0.623 0.953 0.343

***

No. 4
Compound: Cs2DyTe3O12
Source: the Alexandria database
Functional: GGA-PBE
Structure: optimized geometry

Properties
SG: R-3m
ΔE_f (raw) (meV per atom): -1482

Cell lengths 7.650, 7.650, 7.650 Å; angles 58.19, 58.19, 58.19 degrees
Atoms (fractional coordinates):
1 O 0.927 0.927 0.352
2 O 0.315 0.920 0.315
3 O 0.352 0.927 0.927
4 Te 0.000 0.000 0.500
5 O 0.685 0.685 0.080
6 O 0.920 0.315 0.315
7 O 0.315 0.315 0.920
8 O 0.073 0.073 0.648
9 Cs 0.378 0.378 0.378
10 Te 0.000 0.500 0.000
11 Dy 0.000 0.000 0.000
12 O 0.080 0.685 0.685
13 O 0.927 0.352 0.927
14 O 0.073 0.648 0.073
15 Te 0.500 0.000 0.000
16 O 0.648 0.073 0.073
17 O 0.685 0.080 0.685
18 Cs 0.622 0.622 0.622

***

No. 5
Compound: CsDyTe2O8
Source: the Alexandria database
Functional: GGA-PBE
Structure: optimized geometry

Properties
SG: P-3
ΔE_f (raw) (meV per atom): -1599

Cell lengths 5.850, 5.850, 9.136 Å; angles 90.00, 90.00, 120.00 degrees
Atoms (fractional coordinates):
1 O 0.667 0.333 0.081
2 O 0.338 0.254 0.350
3 O 0.662 0.746 0.650
4 O 0.085 0.338 0.650
5 O 0.333 0.667 0.919
6 O 0.915 0.662 0.350
7 Te 0.333 0.667 0.719
8 O 0.254 0.915 0.650
9 Cs 0.000 0.000 0.000
10 O 0.746 0.085 0.350
11 Te 0.667 0.333 0.281
12 Dy 0.000 0.000 0.500

***

No. 6
Compound: Cs2DyTe2O6
Source: the Alexandria database
Functional: GGA-PBE
Structure: optimized geometry

Properties
SG: C2/m
ΔE_f (raw) (meV per atom): -1648

Cell lengths 6.603, 6.105, 7.611 Å; angles 106.85, 90.00, 122.74 degrees
Atoms (fractional coordinates):
1 O 0.267 0.024 0.720
2 O 0.266 0.532 0.446
3 Cs 0.298 0.596 0.861
4 O 0.734 0.468 0.554
5 Cs 0.702 0.404 0.139
6 O 0.243 0.976 0.280
7 O 0.733 0.976 0.280
8 Dy 0.500 0.000 0.500
9 O 0.757 0.024 0.720
10 Te 0.084 0.167 0.261
11 Te 0.916 0.833 0.739

***

No. 7
Compound: Cs2DyTiO4
Source: the Alexandria database
Functional: GGA-PBE
Structure: optimized geometry

Properties
SG: Fddd
ΔE_f (raw) (meV per atom): -2286

Cell lengths 5.940, 7.412, 12.477 Å; angles 84.53, 76.23, 66.38 degrees
Atoms (fractional coordinates):
1 O 0.250 0.152 0.926
2 Ti 0.500 0.000 0.000
3 Cs 0.929 0.500 0.142
4 O 0.824 0.848 0.926
5 Cs 0.821 0.000 0.358
6 Dy 0.000 0.000 0.000
7 O 0.500 0.348 0.574
8 O 0.926 0.652 0.574
9 Cs 0.179 0.000 0.642
10 O 0.152 0.348 0.426
11 O 0.598 0.152 0.074
12 Cs 0.571 0.500 0.858
13 Ti 0.250 0.500 0.500
14 O 0.328 0.848 0.074
15 Dy 0.750 0.500 0.500
16 O 0.422 0.652 0.426

***

No. 8
Compound: Cs2DyTlO4
Source: the Alexandria database
Functional: GGA-PBE
Structure: optimized geometry

Properties
SG: I-4
ΔE_f (raw) (meV per atom): -1784

Cell lengths 6.480, 6.480, 6.459 Å; angles 120.11, 120.11, 90.00 degrees
Atoms (fractional coordinates):
1 Dy 0.986 0.486 0.972
2 Tl 0.736 0.736 0.472
3 Cs 0.486 0.986 0.972
4 O 0.724 0.604 0.719
5 O 0.357 0.748 0.225
6 O 0.867 0.477 0.224
7 Cs 0.236 0.236 0.472
8 O 0.995 0.114 0.719

***

No. 9
Compound: CsDyTlO3
Source: the Alexandria database
Functional: GGA-PBE
Structure: optimized geometry

Properties
SG: P2_1/m
ΔE_f (raw) (meV per atom): -1953

Cell lengths 3.572, 11.988, 7.542 Å; angles 115.31, 90.00, 90.00 degrees
Atoms (fractional coordinates):
1 O 0.750 0.220 0.509
2 O 0.750 0.741 0.132
3 Cs 0.250 0.320 0.279
4 O 0.250 0.780 0.491
5 O 0.250 0.495 0.834
6 Tl 0.250 0.118 0.563
7 Dy 0.750 0.376 0.844
8 O 0.750 0.505 0.166
9 Dy 0.250 0.624 0.156
10 O 0.250 0.259 0.868
11 Cs 0.750 0.680 0.721
12 Tl 0.750 0.882 0.437

***

No. 10
Compound: Cs2DyU3O12
Source: the Alexandria database
Functional: GGA-PBE
Structure: optimized geometry

Properties
SG: R-3m
ΔE_f (raw) (meV per atom): -2924

Cell lengths 7.885, 7.885, 7.885 Å; angles 61.66, 61.66, 61.66 degrees
Atoms (fractional coordinates):
1 O 0.069 0.069 0.665
2 Cs 0.621 0.621 0.621
3 U 0.000 0.500 0.000
4 U 0.000 0.000 0.500
5 O 0.931 0.335 0.931
6 U 0.500 0.000 0.000
7 O 0.069 0.665 0.069
8 O 0.310 0.930 0.310
9 O 0.070 0.690 0.690
10 O 0.335 0.931 0.931
11 O 0.310 0.310 0.930
12 Cs 0.379 0.379 0.379
13 O 0.690 0.070 0.690
14 Dy 0.000 0.000 0.000
15 O 0.690 0.690 0.070
16 O 0.665 0.069 0.069
17 O 0.930 0.310 0.310
18 O 0.931 0.931 0.335